! Sm2Si7Rh12 | the Alexandria database | PBE-GGA | relaxed; values from VASP
&SYSTEM
  ibrav = 0, nat = 21, ntyp = 3
/
ATOMIC_SPECIES
Sm 150.36 Sm.upf
Si 28.09 Si.upf
Rh 102.91 Rh.upf
CELL_PARAMETERS angstrom
-2.758 2.324 -1.414
-6.854 -5.815 3.809
3.568 7.423 5.242
ATOMIC_POSITIONS crystal
Sm 0.251 0.333 0.667
Sm 0.749 0.667 0.333
Si 0.500 0.000 0.000
Si 0.249 0.891 0.290
Si 0.249 0.399 0.109
Si 0.249 0.710 0.601
Si 0.751 0.109 0.710
Si 0.751 0.601 0.891
Si 0.751 0.290 0.399
Rh 0.248 0.619 0.062
Rh 0.248 0.443 0.381
Rh 0.248 0.938 0.557
Rh 0.752 0.381 0.938
Rh 0.752 0.557 0.619
Rh 0.752 0.062 0.443
Rh 0.255 0.119 0.261
Rh 0.255 0.143 0.881
Rh 0.255 0.739 0.857
Rh 0.745 0.881 0.739
Rh 0.745 0.857 0.119
Rh 0.745 0.261 0.143
! - Spin magnetization: 0.000 μB per formula unit
! - Space-group type: P-3, No. 147
! - Formation energy without anion corrections: -20.133 eV/f.u.



! Sm2Si5Rh3 | the Alexandria database | PBE-GGA | relaxed; values from VASP
&SYSTEM
  ibrav = 0, nat = 20, ntyp = 3
/
ATOMIC_SPECIES
Sm 150.36 Sm.upf
Si 28.09 Si.upf
Rh 102.91 Rh.upf
CELL_PARAMETERS angstrom
8.210 0.007 -0.003
0.136 8.209 0.003
-2.199 -6.113 5.020
ATOMIC_POSITIONS crystal
Sm 0.637 0.869 0.768
Sm 0.363 0.131 0.232
Sm 0.101 0.369 0.732
Sm 0.899 0.631 0.268
Si 0.277 0.027 0.750
Si 0.723 0.973 0.250
Si 0.723 0.473 0.750
Si 0.277 0.527 0.250
Si 0.451 0.607 0.844
Si 0.549 0.393 0.156
Si 0.762 0.107 0.656
Si 0.238 0.893 0.344
Si 0.000 0.750 0.750
Si 0.000 0.250 0.250
Rh 0.248 0.639 0.609
Rh 0.752 0.361 0.391
Rh 0.031 0.139 0.891
Rh 0.969 0.861 0.109
Rh 0.500 0.750 0.250
Rh 0.500 0.250 0.750
! - Spin magnetization: 0.000 μB per formula unit
! - Space-group type: Ibam, No. 72
! - Formation energy without anion corrections: -9.779 eV/f.u.



! SmSiRh3 | the Alexandria database | PBE-GGA | relaxed; values from VASP
&SYSTEM
  ibrav = 0, nat = 5, ntyp = 3
/
ATOMIC_SPECIES
Si 28.09 Si.upf
Rh 102.91 Rh.upf
Sm 150.36 Sm.upf
CELL_PARAMETERS angstrom
-1.193 2.337 -3.640
2.529 -2.687 -2.553
-3.509 -2.731 -0.603
ATOMIC_POSITIONS crystal
Si 0.000 0.000 0.000
Rh 0.000 0.500 0.000
Rh 0.000 0.000 0.500
Rh 0.500 0.000 0.000
Sm 0.500 0.500 0.500
! - Spin magnetization: 0.000 μB per formula unit
! - ΔE to the lowest computed polymorph: 0.007 eV/atom
! - Space-group type: Pm-3m, No. 221
! - Formation energy without anion corrections: -3.343 eV/f.u.



! SmSi2Rh8 | the Alexandria database | PBE-GGA | relaxed; values from VASP
&SYSTEM
  ibrav = 0, nat = 11, ntyp = 3
/
ATOMIC_SPECIES
Sm 150.36 Sm.upf
Si 28.09 Si.upf
Rh 102.91 Rh.upf
CELL_PARAMETERS angstrom
-1.197 4.692 3.316
-5.037 0.772 -2.911
-2.585 -3.218 3.619
ATOMIC_POSITIONS crystal
Sm 0.500 0.500 0.500
Si 0.500 0.000 0.000
Si 0.000 0.500 0.000
Rh 0.778 0.778 0.246
Rh 0.778 0.222 0.754
Rh 0.778 0.778 0.754
Rh 0.778 0.222 0.246
Rh 0.222 0.778 0.246
Rh 0.222 0.778 0.754
Rh 0.222 0.222 0.246
Rh 0.222 0.222 0.754
! - Spin magnetization: 0.001 μB per formula unit
! - Space-group type: P4/mmm, No. 123
! - Formation energy without anion corrections: 0.158 eV/f.u.



! Sm3Si2Rh4 | the Alexandria database | PBE-GGA | relaxed; values from VASP
&SYSTEM
  ibrav = 0, nat = 9, ntyp = 3
/
ATOMIC_SPECIES
Sm 150.36 Sm.upf
Si 28.09 Si.upf
Rh 102.91 Rh.upf
CELL_PARAMETERS angstrom
-1.692 -0.916 -3.633
4.034 -3.796 1.405
-7.528 -2.053 4.025
ATOMIC_POSITIONS crystal
Sm 0.627 0.253 0.694
Sm 0.000 0.000 0.000
Sm 0.373 0.747 0.306
Si 0.658 0.316 0.308
Si 0.342 0.684 0.692
Rh 0.717 0.434 0.072
Rh 0.283 0.566 0.928
Rh 0.858 0.716 0.564
Rh 0.142 0.284 0.436
! - Spin magnetization: 0.000 μB per formula unit
! - Space-group type: C2/m, No. 12
! - Formation energy without anion corrections: -8.018 eV/f.u.



! SmSi2Rh3 | the Alexandria database | PBE-GGA | relaxed; values from VASP
&SYSTEM
  ibrav = 0, nat = 6, ntyp = 3
/
ATOMIC_SPECIES
Sm 150.36 Sm.upf
Si 28.09 Si.upf
Rh 102.91 Rh.upf
CELL_PARAMETERS angstrom
-2.211 4.297 2.777
-1.625 -5.203 1.163
2.651 -0.265 2.520
ATOMIC_POSITIONS crystal
Sm 0.000 0.000 0.000
Si 0.667 0.333 0.000
Si 0.333 0.667 0.000
Rh 0.500 0.500 0.500
Rh 0.500 0.000 0.500
Rh 0.000 0.500 0.500
! - Spin magnetization: 0.000 μB per formula unit
! - ΔE to the lowest computed polymorph: 0.000 eV/atom
! - Space-group type: P6/mmm, No. 191
! - Formation energy without anion corrections: -6.148 eV/f.u.